Na3CrIn PBE optimized geometry; polymorph energy (0 for the lowest one) = 0.000 eV per atom
1.0
5.701 0.000 0.000
0.000 5.701 0.000
0.000 0.000 5.701
Cr Na In
1 3 1
Direct
0.000 0.000 0.000
0.000 0.500 0.000
0.000 0.000 0.500
0.500 0.000 0.000
0.500 0.500 0.500

***

NaCr2In: optimized geometry, PBE.

Structure (POSCAR):
```
NaCr2In
1.0
-1.542 6.555 -4.148
-5.149 2.298 5.546
-1.132 5.869 2.156
Cr Na In
4 2 2
Direct
0.647 0.125 0.250
0.103 0.625 0.250
0.375 0.353 0.750
0.875 0.897 0.750
0.500 0.500 0.000
0.250 0.750 0.500
0.000 0.000 0.000
0.750 0.250 0.500
```

***

no.,D(E_F) (states/eV per cell),ΔH_f (0 K) (eV per atom),total magnetization (Bohr magnetons per cell)
1,2.41,0.728,5.16
2,6.93,0.959,17.45